No. 1
Entry from Alexandria via LeMat-Bulk: a relaxed Ti2IrRh4 crystal (PBE).

- DOS(E_F): 12.167 states/eV/cell
- Magnetic moment: 0.0 μB per formula unit
- Energy relative to the elements: -0.343 eV/atom
- SG: P2_1/c
- Uncorrected energy: -112.9 eV/cell

a b c (Å): 5.111 9.514 4.958
angles (deg): 90.00 117.25 90.00
Element x y z (fractional)
Ti (0.182, 0.046, 0.361)
Ti (0.182, 0.454, 0.861)
Ti (0.818, 0.546, 0.139)
Ti (0.818, 0.954, 0.639)
Ir (0.500, 0.000, 0.000)
Ir (0.500, 0.500, 0.500)
Rh (0.062, 0.180, 0.833)
Rh (0.062, 0.320, 0.333)
Rh (0.436, 0.721, 0.149)
Rh (0.436, 0.779, 0.649)
Rh (0.564, 0.221, 0.351)
Rh (0.564, 0.279, 0.851)
Rh (0.938, 0.680, 0.667)
Rh (0.938, 0.820, 0.167)

=====

No. 2
Entry from Alexandria via LeMat-Bulk: a relaxed Dy3Ho2Tl3 crystal (PBE).

- DOS(E_F): 14.179 states/eV/cell
- Magnetic moment: 0.0 μB per formula unit
- Energy relative to the elements: -0.266 eV/atom
- SG: Immm
- Uncorrected energy: -64.4 eV/cell

a b c (Å): 3.761 5.364 22.536
angles (deg): 90.00 90.00 90.00
Element x y z (fractional)
Dy (0.000, 0.000, 0.000)
Dy (0.000, 0.500, 0.126)
Dy (0.000, 0.500, 0.874)
Dy (0.500, 0.000, 0.374)
Dy (0.500, 0.000, 0.626)
Dy (0.500, 0.500, 0.500)
Ho (0.000, 0.000, 0.235)
Ho (0.000, 0.000, 0.765)
Ho (0.500, 0.500, 0.265)
Ho (0.500, 0.500, 0.735)
Tl (0.000, 0.000, 0.500)
Tl (0.000, 0.500, 0.380)
Tl (0.000, 0.500, 0.620)
Tl (0.500, 0.000, 0.120)
Tl (0.500, 0.000, 0.880)
Tl (0.500, 0.500, 0.000)

=====

No. 3
Entry from Alexandria via LeMat-Bulk: a relaxed FeNi2CN crystal (PBE).

- ΔE_f (raw): 4.58 eV/f.u.
- DOS(E_F): 3.332 states/eV/cell
- Magnetic moment: 3.0 μB per formula unit
- SG: P4/mmm
- Uncorrected energy: -33.0 eV/cell

a b c (Å): 3.652 3.652 3.857
angles (deg): 90.00 90.00 90.00
Element x y z (fractional)
Fe (0.000, 0.000, 0.000)
Ni (0.000, 0.500, 0.500)
Ni (0.500, 0.000, 0.500)
C (0.000, 0.000, 0.500)
N (0.500, 0.500, 0.000)

=====

No. 4
Entry from Alexandria via LeMat-Bulk: a relaxed Ba5Rh2I2 crystal (PBE).

- ΔE_f (raw): -6.34 eV/f.u.
- DOS(E_F): 13.007 states/eV/cell
- Magnetic moment: 0.0 μB per formula unit
- SG: Cmce
- Uncorrected energy: -67.5 eV/cell

a b c (Å): 10.105 10.105 8.797
angles (deg): 90.00 90.00 51.57
Element x y z (fractional)
Ba (0.000, 0.000, 0.000)
Ba (0.044, 0.734, 0.655)
Ba (0.234, 0.544, 0.155)
Ba (0.266, 0.956, 0.655)
Ba (0.456, 0.766, 0.155)
Ba (0.500, 0.500, 0.500)
Ba (0.544, 0.234, 0.845)
Ba (0.734, 0.044, 0.345)
Ba (0.766, 0.456, 0.845)
Ba (0.956, 0.266, 0.345)
Rh (0.146, 0.854, 0.354)
Rh (0.354, 0.646, 0.854)
Rh (0.646, 0.354, 0.146)
Rh (0.854, 0.146, 0.646)
I (0.208, 0.208, 0.000)
I (0.292, 0.292, 0.500)
I (0.708, 0.708, 0.500)
I (0.792, 0.792, 0.000)

=====

No. 5
Entry from Alexandria via LeMat-Bulk: a relaxed Os2SeCl crystal (PBE).

- ΔE_f (raw): 0.90 eV/f.u.
- DOS(E_F): 2.828 states/eV/cell
- Magnetic moment: 0.0 μB per formula unit
- SG: Pm
- Uncorrected energy: -26.9 eV/cell
- E above lowest polymorph: 0 meV/atom

a b c (Å): 2.897 2.967 9.141
angles (deg): 90.00 90.57 90.00
Element x y z (fractional)
Os (0.000, 0.000, 0.000)
Os (0.495, 0.500, 0.827)
Se (0.007, 0.500, 0.223)
Cl (0.488, 0.000, 0.614)

=====

No. 6
Entry from Alexandria via LeMat-Bulk: a relaxed LiAcErTl crystal (PBE).

- DOS(E_F): 14.997 states/eV/cell
- Magnetic moment: 0.0 μB per formula unit
- Energy relative to the elements: 0.084 eV/atom
- SG: F-43m
- Uncorrected energy: -50.5 eV/cell

a b c (Å): 7.787 7.787 7.787
angles (deg): 90.00 90.00 90.00
Element x y z (fractional)
Li (0.000, 0.000, 0.000)
Li (0.000, 0.500, 0.500)
Li (0.500, 0.000, 0.500)
Li (0.500, 0.500, 0.000)
Ac (0.250, 0.250, 0.750)
Ac (0.250, 0.750, 0.250)
Ac (0.750, 0.250, 0.250)
Ac (0.750, 0.750, 0.750)
Er (0.000, 0.000, 0.500)
Er (0.000, 0.500, 0.000)
Er (0.500, 0.000, 0.000)
Er (0.500, 0.500, 0.500)
Tl (0.250, 0.250, 0.250)
Tl (0.250, 0.750, 0.750)
Tl (0.750, 0.250, 0.750)
Tl (0.750, 0.750, 0.250)

=====

No. 7
Entry from Alexandria via LeMat-Bulk: a relaxed Ta2CoNiOs crystal (PBE).

- DOS(E_F): 5.149 states/eV/cell
- Magnetic moment: 0.0 μB per formula unit
- Energy relative to the elements: 1.100 eV/atom
- SG: P4/mmm
- Uncorrected energy: -42.3 eV/cell

a b c (Å): 4.495 4.495 4.377
angles (deg): 90.00 90.00 90.00
Element x y z (fractional)
Ta (0.000, 0.500, 0.000)
Ta (0.500, 0.000, 0.000)
Co (0.000, 0.000, 0.000)
Ni (0.500, 0.500, 0.500)
Os (0.000, 0.000, 0.500)

=====

No. 8
Entry from Alexandria via LeMat-Bulk: a relaxed Ta2MnPd2 crystal (PBE).

- DOS(E_F): 15.861 states/eV/cell
- Magnetic moment: 0.0 μB per formula unit
- Energy relative to the elements: 0.250 eV/atom
- SG: P4/mbm
- Uncorrected energy: -84.0 eV/cell

a b c (Å): 7.165 7.165 3.203
angles (deg): 90.00 90.00 90.00
Element x y z (fractional)
Ta (0.178, 0.322, 0.000)
Ta (0.322, 0.822, 0.000)
Ta (0.678, 0.178, 0.000)
Ta (0.822, 0.678, 0.000)
Mn (0.000, 0.000, 0.500)
Mn (0.500, 0.500, 0.500)
Pd (0.127, 0.627, 0.500)
Pd (0.373, 0.127, 0.500)
Pd (0.627, 0.873, 0.500)
Pd (0.873, 0.373, 0.500)

=====

No. 9
Entry from Alexandria via LeMat-Bulk: a relaxed SeN2Cl crystal (PBE).

- ΔE_f (raw): 7.62 eV/f.u.
- DOS(E_F): 10.859 states/eV/cell
- Magnetic moment: 0.0 μB per formula unit
- SG: R-3m
- Uncorrected energy: -43.1 eV/cell
- E above lowest polymorph: 529 meV/atom

a b c (Å): 3.950 3.950 18.773
angles (deg): 90.00 90.00 120.00
Element x y z (fractional)
Se (0.000, 0.000, 0.000)
Se (0.333, 0.667, 0.667)
Se (0.667, 0.333, 0.333)
N (0.000, 0.000, 0.091)
N (0.000, 0.000, 0.909)
N (0.333, 0.667, 0.575)
N (0.333, 0.667, 0.758)
N (0.667, 0.333, 0.242)
N (0.667, 0.333, 0.425)
Cl (0.000, 0.000, 0.500)
Cl (0.333, 0.667, 0.167)
Cl (0.667, 0.333, 0.833)

=====

No. 10
Entry from Alexandria via LeMat-Bulk: a relaxed K2Ce3Te6 crystal (PBE).

- ΔE_f (raw): -14.47 eV/f.u.
- DOS(E_F): 13.869 states/eV/cell
- Magnetic moment: 2.0 μB per formula unit
- SG: C2/m
- Uncorrected energy: -53.3 eV/cell

a b c (Å): 7.937 7.937 8.739
angles (deg): 98.70 98.70 120.00
Element x y z (fractional)
K (0.167, 0.833, 0.000)
K (0.833, 0.167, 0.000)
Ce (0.000, 0.000, 0.500)
Ce (0.333, 0.667, 0.500)
Ce (0.667, 0.333, 0.500)
Te (0.070, 0.403, 0.708)
Te (0.264, 0.264, 0.291)
Te (0.403, 0.070, 0.708)
Te (0.597, 0.930, 0.292)
Te (0.736, 0.736, 0.709)
Te (0.930, 0.597, 0.292)

=====

No. 11
Entry from Alexandria via LeMat-Bulk: a relaxed CaSiN2O crystal (PBE).

- ΔE_f (raw): -4.78 eV/f.u.
- DOS(E_F): 3.093 states/eV/cell
- Magnetic moment: 0.7 μB per formula unit
- SG: P4/mmm
- Uncorrected energy: -33.8 eV/cell

a b c (Å): 3.608 3.608 3.858
angles (deg): 90.00 90.00 90.00
Element x y z (fractional)
Ca (0.000, 0.000, 0.000)
Si (0.500, 0.500, 0.500)
N (0.000, 0.500, 0.500)
N (0.500, 0.000, 0.500)
O (0.500, 0.500, 0.000)

=====

No. 12
Entry from Alexandria via LeMat-Bulk: a relaxed Be2InS crystal (PBE).

- ΔE_f (raw): 3.31 eV/f.u.
- DOS(E_F): 9.367 states/eV/cell
- Magnetic moment: 0.0 μB per formula unit
- SG: Fm-3m
- Uncorrected energy: -44.0 eV/cell
- E above lowest polymorph: 807 meV/atom

a b c (Å): 6.285 6.285 6.285
angles (deg): 90.00 90.00 90.00
Element x y z (fractional)
Be (0.250, 0.250, 0.250)
Be (0.250, 0.250, 0.750)
Be (0.250, 0.750, 0.250)
Be (0.250, 0.750, 0.750)
Be (0.750, 0.250, 0.250)
Be (0.750, 0.250, 0.750)
Be (0.750, 0.750, 0.250)
Be (0.750, 0.750, 0.750)
In (0.000, 0.000, 0.000)
In (0.000, 0.500, 0.500)
In (0.500, 0.000, 0.500)
In (0.500, 0.500, 0.000)
S (0.000, 0.000, 0.500)
S (0.000, 0.500, 0.000)
S (0.500, 0.000, 0.000)
S (0.500, 0.500, 0.500)

=====

- Among the records above, which one has the lowest uncorrected energy?
  Ti2IrRh4